LiCo2CuO6: optimized geometry, PBE+U.

Cell lengths 6.7905, 2.8209, 5.7399 Å; angles 90.00, 105.20, 78.01 degrees
Closest atoms and distances in Å follow each position.
Positions (direct):
1 Co 0.9958 0.0021 0.9926  6 O 1.88-1.91
2 Co 0.6736 0.6632 0.6596  6 O 1.88-1.92
3 O 0.2936 0.8532 0.1168  2 Cu 1.90, 1 Co 1.91
4 O 0.3806 0.8097 0.5750  1 Co 1.88, 2 Cu 1.89
5 O 0.6517 0.1741 0.4304  2 Co 1.91, 1 Cu 2.09, 2 Li 2.10
6 O 0.9706 0.5147 0.7706  3 Co 1.88-1.90
7 O 0.9993 0.5004 0.2123  2 Co 1.89, 1 Li 2.10, 1 Cu 2.10
8 O 0.7002 0.1499 0.8936  3 Co 1.89-1.92
9 Cu 0.3256 0.3372 0.3468  6 O 1.89-2.10
10 Li 0.6757 0.6622 0.1689  5 O 2.10-2.16

Calculated values
Calculated volume ... 104 Å³/cell
Spin magnetization ... 1.98 μB/cell
E above lowest polymorph ... 0 meV per atom